# 1
# Sr3CaRh8

A relaxed structure of Sr3CaRh8 (PBE-GGA, the Alexandria database).

Geometry as CIF:
```
data_Sr3CaRh8
_chemical_formula_sum 'Sr9 Ca3 Rh24'
_cell_length_a 5.4513
_cell_length_b 5.4513
_cell_length_c 26.7617
_cell_angle_alpha 90.00
_cell_angle_beta 90.00
_cell_angle_gamma 120.00
_symmetry_space_group_name_H-M 'R 3 m'
_symmetry_Int_Tables_number 160
_symmetry_space_group_name_Hall 'R 3 -2"'
loop_
_atom_site_label
_atom_site_type_symbol
_atom_site_fract_x
_atom_site_fract_y
_atom_site_fract_z
_atom_site_occupancy
Sr1 Sr 0.0000 0.0000 0.0000 1
Sr2 Sr 0.0000 0.0000 0.1253 1
Sr3 Sr 0.0000 0.0000 0.6247 1
Ca1 Ca 0.0000 0.0000 0.5002 1
Rh1 Rh 0.0000 0.0000 0.3126 1
Rh2 Rh 0.0000 0.0000 0.8128 1
Rh3 Rh 0.0026 0.5013 0.0639 1
Rh4 Rh 0.1677 0.3353 0.8946 1
```

Calculated values
E_form ... -0.3000 eV/atom

# 2
# Tc2TeOs

A relaxed structure of Tc2TeOs (PBE-GGA, the Alexandria database).

Geometry as CIF:
```
data_Tc2TeOs
_chemical_formula_sum 'Tc2 Te1 Os1'
_cell_length_a 2.999
_cell_length_b 2.999
_cell_length_c 7.202
_cell_angle_alpha 90.00
_cell_angle_beta 90.00
_cell_angle_gamma 90.00
_symmetry_space_group_name_H-M 'P 4 m m'
_symmetry_Int_Tables_number 99
_symmetry_space_group_name_Hall 'P 4 -2'
loop_
_atom_site_label
_atom_site_type_symbol
_atom_site_fract_x
_atom_site_fract_y
_atom_site_fract_z
_atom_site_occupancy
Tc1 Tc 0.000 0.000 0.000 1
Tc2 Tc 0.500 0.500 0.241 1
Te1 Te 0.000 0.000 0.495 1
Os1 Os 0.500 0.500 0.765 1
```

Calculated values
Energy above the most stable polymorph in this dataset ... 1.470 kcal/mol of atoms

no.,M_tot (μB per cell)
1,0.001
2,0.000